(1)
## HfBiO4 (meta-GGA SCAN)

Data for a crystal of HfBiO4 relaxed with PBEsol.

POSCAR file:
```
HfBiO4
1.0
5.406 0.000 0.000
-0.415 7.673 0.000
-0.164 -1.056 7.626
Hf Bi O
4 4 16
Direct
0.216 0.174 0.365 Hf
0.256 0.675 0.326 Hf
0.744 0.325 0.674 Hf
0.784 0.826 0.635 Hf
0.243 0.132 0.864 Bi
0.280 0.649 0.818 Bi
0.720 0.351 0.182 Bi
0.757 0.868 0.136 Bi
0.001 0.175 0.118 O
0.079 0.408 0.812 O
0.095 0.681 0.568 O
0.101 0.918 0.330 O
0.391 0.427 0.319 O
0.408 0.674 0.080 O
0.415 0.197 0.591 O
0.493 0.112 0.190 O
0.507 0.888 0.810 O
0.585 0.803 0.409 O
0.592 0.326 0.920 O
0.609 0.573 0.681 O
0.899 0.082 0.670 O
0.905 0.319 0.432 O
0.921 0.592 0.188 O
0.999 0.825 0.882 O
```

Computed properties:
Space-group type ... No. 2
Formation energy without anion corrections ... -2370 meV per atom

---

(2)
## Hf2Bi2O7 (meta-GGA SCAN)

Data for a crystal of Hf2Bi2O7 relaxed with PBEsol.

POSCAR file:
```
Hf2Bi2O7
1.0
-3.808 3.808 5.354
3.808 -3.808 5.354
3.808 3.808 -5.354
Hf Bi O
4 4 14
Direct
0.125 0.375 0.749 Hf
0.624 0.875 0.250 Hf
0.625 0.375 0.750 Hf
0.625 0.376 0.251 Hf
0.074 0.863 0.698 Bi
0.137 0.835 0.211 Bi
0.165 0.375 0.302 Bi
0.625 0.926 0.789 Bi
0.000 0.000 0.000 O
0.250 0.750 0.500 O
0.293 0.308 0.590 O
0.297 0.707 0.016 O
0.314 0.314 0.000 O
0.528 0.418 0.472 O
0.535 0.035 0.500 O
0.582 0.054 0.110 O
0.686 0.686 0.000 O
0.692 0.282 0.984 O
0.718 0.703 0.410 O
0.944 0.472 0.890 O
0.946 0.056 0.528 O
0.965 0.465 0.500 O
```

Computed properties:
Space-group type ... No. 82
Formation energy without anion corrections ... -2617 meV per atom

---

(3)
## SrHfBiO2 (meta-GGA SCAN)

Data for a crystal of SrHfBiO2 relaxed with PBEsol.

POSCAR file:
```
SrHfBiO2
1.0
4.237 0.000 0.000
0.000 4.237 0.000
0.000 0.000 5.848
Sr Hf Bi O
1 1 1 2
Direct
0.000 0.000 0.000 Sr
0.500 0.500 0.500 Hf
0.500 0.500 0.000 Bi
0.000 0.500 0.500 O
0.500 0.000 0.500 O
```

Computed properties:
Space-group type ... No. 123
Formation energy without anion corrections ... -1828 meV per atom

---

(4)
## HfBiOs3 (meta-GGA SCAN)

Data for a crystal of HfBiOs3 relaxed with PBEsol.

POSCAR file:
```
HfBiOs3
1.0
4.788 0.000 0.000
0.000 4.788 0.000
0.000 0.000 4.788
Hf Bi Os
1 1 3
Direct
0.000 0.000 0.000 Hf
0.500 0.500 0.500 Bi
0.000 0.000 0.500 Os
0.000 0.500 0.000 Os
0.500 0.000 0.000 Os
```

Computed properties:
Space-group type ... No. 221
Energy of formation ... 2.164 eV/atom

---

Computed raw total energy, in the same sequence as the records: -721.597, -709.817, -185.132, -346.071 eV per cell.